Material: Tb2PrDyY
Method: DFT, PBE-GGA
State: optimized geometry

Cell lengths 8.4488, 11.5788, 7.2361 Å; angles 90.00, 90.00, 90.00 degrees
Closest atoms and distances in Å follow each position.
Space group Cmcm (No. 63)
Unique sites:
1 Tb 0.1895 0.0000 0.0000 x8  2 Y 3.19, 1 Tb 3.20, 2 Dy 3.54
2 Pr 0.0000 0.2275 0.2500 x4  1 Y 3.14
3 Dy 0.0000 0.2235 0.7500 x4  1 Y 3.22, 4 Tb 3.54
4 Y 0.0000 0.4987 0.2500 x4  1 Pr 3.14, 4 Tb 3.19, 1 Dy 3.22

Values from the calculation:
spin magnetization	0.0	μB per formula unit
formation energy from the elements	387	meV per atom

Material: Tb6Pr2DyY
Method: DFT, PBE-GGA
State: optimized geometry

Cell lengths 9.0569, 15.2007, 9.7569 Å; angles 90.00, 98.82, 90.00 degrees
Closest atoms and distances in Å follow each position.
Space group C2/c (No. 15)
Unique sites:
1 Tb 0.0643 0.1908 0.4431 x8  7 Tb 3.41-3.77, 1 Pr 3.52, 1 Y 3.68, 1 Dy 3.79
2 Tb 0.1042 0.3952 0.6193 x8  4 Tb 3.26-3.54, 3 Pr 3.28-3.47, 2 Dy 3.45-3.59
3 Tb 0.2007 0.2230 0.8114 x8  4 Tb 3.26-3.65, 1 Pr 3.40, 1 Dy 3.48, 1 Y 3.62
4 Pr 0.2460 0.0535 0.0416 x8  5 Tb 3.28-3.52, 2 Y 3.38-3.41, 1 Dy 3.60
5 Dy 0.0000 0.4071 0.2500 x4  8 Tb 3.45-3.79, 2 Pr 3.60
6 Y 0.0000 0.0175 0.7500 x4  4 Pr 3.38-3.41, 4 Tb 3.62-3.68

Values from the calculation:
spin magnetization	0.0	μB per formula unit
formation energy from the elements	115	meV per atom

Material: Tb2PrDyY6
Method: DFT, PBE-GGA
State: optimized geometry

Cell lengths 9.1564, 15.0738, 9.6442 Å; angles 90.00, 97.79, 90.00 degrees
Closest atoms and distances in Å follow each position.
Space group C2/c (No. 15)
Unique sites:
1 Tb 0.2487 0.0512 0.0476 x8  6 Y 3.29-3.62, 2 Pr 3.39-3.44, 1 Dy 3.53
2 Pr 0.0000 0.0246 0.7500 x4  4 Tb 3.39-3.44, 4 Y 3.58-3.69
3 Dy 0.0000 0.4093 0.2500 x4  6 Y 3.43-3.54, 2 Tb 3.53
4 Y 0.0645 0.1860 0.4428 x8  7 Y 3.43-3.75, 1 Tb 3.53, 1 Pr 3.69
5 Y 0.0980 0.3921 0.6168 x8  4 Y 3.26-3.52, 3 Tb 3.29-3.46, 2 Dy 3.43-3.54
6 Y 0.2087 0.2246 0.8171 x8  3 Y 3.26-3.59, 2 Tb 3.42-3.62, 1 Dy 3.47, 1 Pr 3.58

Values from the calculation:
spin magnetization	0.0	μB per formula unit
formation energy from the elements	117	meV per atom

Material: TbPr5Dy2Y
Method: DFT, PBE-GGA
State: optimized geometry

Cell lengths 5.6831, 20.7074, 10.7434 Å; angles 90.00, 90.00, 90.00 degrees
Closest atoms and distances in Å follow each position.
Space group Cmc2_1 (No. 36)
Unique sites:
1 Tb 0.0000 0.1994 0.0000 x4  2 Dy 3.42-3.63, 7 Pr 3.54-3.83, 2 Y 3.62
2 Pr 0.0000 0.0143 0.0052 x4  2 Y 3.33, 3 Dy 3.49-3.61
3 Pr 0.0000 0.2784 0.3024 x4  1 Y 3.11, 1 Dy 3.39, 2 Pr 3.42
4 Pr 0.0000 0.2954 0.6963 x4  2 Pr 3.42, 1 Y 3.46, 3 Tb 3.54-3.82, 3 Dy 3.56-3.79
5 Pr 0.0000 0.3841 0.0106 x4  6 Pr 3.62-3.92, 4 Dy 3.66-3.68, 1 Tb 3.83
6 Pr 0.0000 0.4841 0.7345 x4  2 Y 3.28-3.42, 2 Dy 3.56, 2 Pr 3.62-3.64
7 Dy 0.0000 0.1133 0.7283 x4  1 Tb 3.42, 7 Pr 3.57-3.79, 2 Y 3.76
8 Dy 0.0000 0.1146 0.2956 x4  9 Pr 3.39-3.75, 1 Tb 3.63
9 Y 0.0000 0.4060 0.4544 x4  6 Pr 3.11-3.46

Values from the calculation:
spin magnetization	0.0	μB per formula unit
formation energy from the elements	144	meV per atom

Material: TbPr2Dy3Y6
Method: DFT, PBE-GGA
State: optimized geometry

Cell lengths 6.2198, 10.7649, 11.8587 Å; angles 90.00, 100.02, 90.00 degrees
Closest atoms and distances in Å follow each position.
Space group C2/m (No. 12)
Unique sites:
1 Tb 0.0000 0.0000 0.0000 x2  6 Pr 3.59, 6 Y 3.61
2 Pr 0.0000 0.3334 0.0000 x4  3 Pr 3.59, 3 Tb 3.59, 6 Y 3.61
3 Dy 0.0000 0.1665 0.5000 x4  6 Y 3.55-3.56, 6 Dy 3.58-3.59
4 Dy 0.0000 0.5000 0.5000 x2  6 Y 3.55, 6 Dy 3.59
5 Y 0.2481 0.0000 0.7468 x4  3 Dy 3.55, 6 Y 3.58-3.59, 1 Tb 3.61, 2 Pr 3.61
6 Y 0.2493 0.3337 0.7471 x8  3 Dy 3.55-3.56, 6 Y 3.58-3.59, 1 Tb 3.61, 2 Pr 3.61

Values from the calculation:
spin magnetization	0.0	μB per formula unit
formation energy from the elements	18	meV per atom

Material: Tb2Pr2Dy2Y
Method: DFT, PBE-GGA
State: optimized geometry

Cell lengths 11.8166, 3.5426, 11.9213 Å; angles 90.00, 109.18, 90.00 degrees
Closest atoms and distances in Å follow each position.
Space group C2/m (No. 12)
Unique sites:
1 Tb 0.0504 0.0000 0.2694 x4  3 Dy 3.51-3.59, 2 Tb 3.54, 2 Y 3.54, 4 Pr 3.57-3.64
2 Pr 0.1711 0.0000 0.5856 x4  5 Pr 3.54-3.89, 4 Tb 3.57-3.64, 2 Dy 3.63
3 Dy 0.2259 0.5000 0.8644 x4  3 Tb 3.51-3.59, 4 Dy 3.54-3.57, 3 Y 3.55-3.58, 2 Pr 3.63
4 Y 0.0000 0.5000 0.0000 x2  2 Y 3.54, 4 Tb 3.54, 6 Dy 3.55-3.58

Values from the calculation:
spin magnetization	0.0	μB per formula unit
formation energy from the elements	85	meV per atom